Computed, not measured: Mg2CdIn at its PBEsol-relaxed geometry at the meta-GGA SCAN level of DFT.

DFT formation energy: -0.68 eV per formula unit
total energy: -18.608 eV per atom
V: 21.56 A^3/atom
ρ: 5.31 g/cm³

a = 4.466 Å, b = 4.466 Å, c = 4.323 Å
α = 90.00°, β = 90.00°, γ = 90.00°
Space group P4/mmm (No. 123)
One atom of each set of equivalent atoms:
Mg  0.000  0.500  0.000 (multiplicity 2)
Cd  0.000  0.000  0.500 (multiplicity 1)
In  0.500  0.500  0.500 (multiplicity 1)

---

Computed, not measured: MgCdIn2 at its PBEsol-relaxed geometry at the meta-GGA SCAN level of DFT.

DFT formation energy: -0.26 eV per formula unit
total energy: -25.604 eV per atom
V: 22.86 A^3/atom
ρ: 6.65 g/cm³

a = 4.513 Å, b = 4.513 Å, c = 8.976 Å
α = 90.00°, β = 90.00°, γ = 90.00°
Space group I4/mmm (No. 139)
One atom of each set of equivalent atoms:
Mg  0.000  0.000  0.000 (multiplicity 2)
Cd  0.000  0.000  0.500 (multiplicity 2)
In  0.000  0.500  0.250 (multiplicity 4)

---

Number 1: density of states at the Fermi level 1.483 states/eV/f.u.. Number 2: density of states at the Fermi level 1.536 states/eV/f.u..